# PBE Zn2SbAs, relaxed
# offset from the most stable computed form	212	meV per atom
# theoretical density	6.78	g/cm3
# energy relative to the elements, uncorrected	246	meV/atom
data_Zn2SbAs
_chemical_formula_sum 'Zn4 Sb2 As2'
_symmetry_space_group_name_H-M 'C m m m'
_symmetry_Int_Tables_number 65
_symmetry_space_group_name_Hall '-C 2 2'
_cell_length_a 5.868
_cell_length_b 7.416
_cell_length_c 3.688
_cell_angle_alpha 90.00
_cell_angle_beta 90.00
_cell_angle_gamma 90.00
loop_
_atom_site_label
_atom_site_type_symbol
_atom_site_fract_x
_atom_site_fract_y
_atom_site_fract_z
_atom_site_occupancy
Zn1 Zn 0.250 0.250 0.000 1
Sb1 Sb 0.000 0.000 0.500 1
As1 As 0.000 0.500 0.500 1


# PBE Zn3SbAs, relaxed
# offset from the most stable computed form	668	meV per atom
# theoretical density	4.76	g/cm3
# energy relative to the elements, uncorrected	690	meV/atom
data_Zn3SbAs
_chemical_formula_sum 'Zn3 Sb1 As1'
_symmetry_space_group_name_H-M 'P m -3 m'
_symmetry_Int_Tables_number 221
_symmetry_space_group_name_Hall '-P 4 2 3'
_cell_length_a 5.154
_cell_length_b 5.154
_cell_length_c 5.154
_cell_angle_alpha 90.00
_cell_angle_beta 90.00
_cell_angle_gamma 90.00
loop_
_atom_site_label
_atom_site_type_symbol
_atom_site_fract_x
_atom_site_fract_y
_atom_site_fract_z
_atom_site_occupancy
Zn1 Zn 0.000 0.000 0.500 1
Sb1 Sb 0.000 0.000 0.000 1
As1 As 0.500 0.500 0.500 1


# PBE ZnSbAs2, relaxed
# offset from the most stable computed form	281	meV per atom
# theoretical density	6.73	g/cm3
# energy relative to the elements, uncorrected	321	meV/atom
data_ZnSbAs2
_chemical_formula_sum 'Zn2 Sb2 As4'
_symmetry_space_group_name_H-M 'I -4 m 2'
_symmetry_Int_Tables_number 119
_symmetry_space_group_name_Hall 'I -4 -2'
_cell_length_a 5.176
_cell_length_b 5.176
_cell_length_c 6.209
_cell_angle_alpha 90.00
_cell_angle_beta 90.00
_cell_angle_gamma 90.00
loop_
_atom_site_label
_atom_site_type_symbol
_atom_site_fract_x
_atom_site_fract_y
_atom_site_fract_z
_atom_site_occupancy
Zn1 Zn 0.000 0.000 0.000 1
Sb1 Sb 0.000 0.500 0.750 1
As1 As 0.000 0.000 0.500 1
As2 As 0.000 0.500 0.250 1


# PBE ZnSb2As, relaxed
# offset from the most stable computed form	170	meV per atom
# theoretical density	6.72	g/cm3
# energy relative to the elements, uncorrected	235	meV/atom
data_ZnSb2As
_chemical_formula_sum 'Zn2 Sb4 As2'
_symmetry_space_group_name_H-M 'I m m 2'
_symmetry_Int_Tables_number 44
_symmetry_space_group_name_Hall 'I 2 -2'
_cell_length_a 3.657
_cell_length_b 5.437
_cell_length_c 9.545
_cell_angle_alpha 90.00
_cell_angle_beta 90.00
_cell_angle_gamma 90.00
loop_
_atom_site_label
_atom_site_type_symbol
_atom_site_fract_x
_atom_site_fract_y
_atom_site_fract_z
_atom_site_occupancy
Zn1 Zn 0.000 0.000 0.000 1
Sb1 Sb 0.000 0.000 0.430 1
Sb2 Sb 0.000 0.500 0.264 1
As1 As 0.000 0.500 0.703 1


# PBE ZnSb2As, relaxed
# offset from the most stable computed form	210	meV per atom
# theoretical density	7.04	g/cm3
# energy relative to the elements, uncorrected	276	meV/atom
data_ZnSb2As
_chemical_formula_sum 'Zn4 Sb8 As4'
_symmetry_space_group_name_H-M 'F m -3 m'
_symmetry_Int_Tables_number 225
_symmetry_space_group_name_Hall '-F 4 2 3'
_cell_length_a 7.129
_cell_length_b 7.129
_cell_length_c 7.129
_cell_angle_alpha 90.00
_cell_angle_beta 90.00
_cell_angle_gamma 90.00
loop_
_atom_site_label
_atom_site_type_symbol
_atom_site_fract_x
_atom_site_fract_y
_atom_site_fract_z
_atom_site_occupancy
Zn1 Zn 0.000 0.000 0.000 1
Sb1 Sb 0.250 0.250 0.250 1
As1 As 0.000 0.000 0.500 1


# PBE ZnSb2As, relaxed
# offset from the most stable computed form	0	meV per atom
# theoretical density	6.53	g/cm3
# energy relative to the elements, uncorrected	65	meV/atom
data_ZnSb2As
_chemical_formula_sum 'Zn2 Sb4 As2'
_symmetry_space_group_name_H-M 'C 1 m 1'
_symmetry_Int_Tables_number 8
_symmetry_space_group_name_Hall 'C -2y'
_cell_length_a 12.273
_cell_length_b 3.898
_cell_length_c 4.325
_cell_angle_alpha 90.00
_cell_angle_beta 109.39
_cell_angle_gamma 90.00
loop_
_atom_site_label
_atom_site_type_symbol
_atom_site_fract_x
_atom_site_fract_y
_atom_site_fract_z
_atom_site_occupancy
Zn1 Zn 0.000 0.000 0.000 1
Sb1 Sb 0.249 0.500 0.789 1
Sb2 Sb 0.487 0.000 0.488 1
As1 As 0.230 0.000 0.204 1


# PBE Zn4SbAs2, relaxed
# theoretical density	5.05	g/cm3
# energy relative to the elements, uncorrected	43	meV/atom
data_Zn4SbAs2
_chemical_formula_sum 'Zn16 Sb4 As8'
_symmetry_space_group_name_H-M 'P n m a'
_symmetry_Int_Tables_number 62
_symmetry_space_group_name_Hall '-P 2ac 2n'
_cell_length_a 13.007
_cell_length_b 7.991
_cell_length_c 6.744
_cell_angle_alpha 90.00
_cell_angle_beta 90.00
_cell_angle_gamma 90.00
loop_
_atom_site_label
_atom_site_type_symbol
_atom_site_fract_x
_atom_site_fract_y
_atom_site_fract_z
_atom_site_occupancy
Zn1 Zn 0.079 0.250 0.189 1
Zn2 Zn 0.087 0.021 0.664 1
Zn3 Zn 0.102 0.750 0.136 1
Sb1 Sb 0.204 0.250 0.504 1
As1 As 0.000 0.000 0.000 1
As2 As 0.064 0.750 0.493 1


# PBE ZnSb2As2, relaxed
# offset from the most stable computed form	0	meV per atom
# theoretical density	6.40	g/cm3
# energy relative to the elements, uncorrected	255	meV/atom
data_ZnSb2As2
_chemical_formula_sum 'Zn2 Sb4 As4'
_symmetry_space_group_name_H-M 'P 4/m b m'
_symmetry_Int_Tables_number 127
_symmetry_space_group_name_Hall '-P 4 2ab'
_cell_length_a 7.780
_cell_length_b 7.780
_cell_length_c 3.930
_cell_angle_alpha 90.00
_cell_angle_beta 90.00
_cell_angle_gamma 90.00
loop_
_atom_site_label
_atom_site_type_symbol
_atom_site_fract_x
_atom_site_fract_y
_atom_site_fract_z
_atom_site_occupancy
Zn1 Zn 0.000 0.000 0.000 1
Sb1 Sb 0.153 0.347 0.500 1
As1 As 0.172 0.672 0.000 1


# PBE Zn2SbAs2, relaxed
# offset from the most stable computed form	23	meV per atom
# theoretical density	6.30	g/cm3
# energy relative to the elements, uncorrected	164	meV/atom
data_Zn2SbAs2
_chemical_formula_sum 'Zn4 Sb2 As4'
_symmetry_space_group_name_H-M 'P 4/m b m'
_symmetry_Int_Tables_number 127
_symmetry_space_group_name_Hall '-P 4 2ab'
_cell_length_a 8.289
_cell_length_b 8.289
_cell_length_c 3.086
_cell_angle_alpha 90.00
_cell_angle_beta 90.00
_cell_angle_gamma 90.00
loop_
_atom_site_label
_atom_site_type_symbol
_atom_site_fract_x
_atom_site_fract_y
_atom_site_fract_z
_atom_site_occupancy
Zn1 Zn 0.105 0.395 0.000 1
Sb1 Sb 0.000 0.000 0.500 1
As1 As 0.214 0.714 0.500 1


# PBE Zn2SbAs, relaxed
# offset from the most stable computed form	46	meV per atom
# theoretical density	6.60	g/cm3
# energy relative to the elements, uncorrected	79	meV/atom
data_Zn2SbAs
_chemical_formula_sum 'Zn4 Sb2 As2'
_symmetry_space_group_name_H-M 'C 1 2/m 1'
_symmetry_Int_Tables_number 12
_symmetry_space_group_name_Hall '-C 2y'
_cell_length_a 6.561
_cell_length_b 3.770
_cell_length_c 7.006
_cell_angle_alpha 90.00
_cell_angle_beta 108.10
_cell_angle_gamma 90.00
loop_
_atom_site_label
_atom_site_type_symbol
_atom_site_fract_x
_atom_site_fract_y
_atom_site_fract_z
_atom_site_occupancy
Zn1 Zn 0.239 0.000 0.215 1
Sb1 Sb 0.000 0.000 0.500 1
As1 As 0.000 0.500 0.000 1


# PBE Zn3SbAs, relaxed
# offset from the most stable computed form	0	meV per atom
# theoretical density	4.81	g/cm3
# energy relative to the elements, uncorrected	22	meV/atom
data_Zn3SbAs
_chemical_formula_sum 'Zn6 Sb2 As2'
_symmetry_space_group_name_H-M 'P 1 21/m 1'
_symmetry_Int_Tables_number 11
_symmetry_space_group_name_Hall '-P 2yb'
_cell_length_a 6.966
_cell_length_b 4.363
_cell_length_c 8.934
_cell_angle_alpha 90.00
_cell_angle_beta 90.81
_cell_angle_gamma 90.00
loop_
_atom_site_label
_atom_site_type_symbol
_atom_site_fract_x
_atom_site_fract_y
_atom_site_fract_z
_atom_site_occupancy
Zn1 Zn 0.027 0.250 0.139 1
Zn2 Zn 0.160 0.750 0.283 1
Zn3 Zn 0.377 0.250 0.658 1
Sb1 Sb 0.360 0.250 0.358 1
As1 As 0.156 0.250 0.866 1


# PBE ZnSb2As, relaxed
# offset from the most stable computed form	207	meV per atom
# theoretical density	6.96	g/cm3
# energy relative to the elements, uncorrected	272	meV/atom
data_ZnSb2As
_chemical_formula_sum 'Zn1 Sb2 As1'
_symmetry_space_group_name_H-M 'P 4 m m'
_symmetry_Int_Tables_number 99
_symmetry_space_group_name_Hall 'P 4 -2'
_cell_length_a 3.252
_cell_length_b 3.252
_cell_length_c 8.659
_cell_angle_alpha 90.00
_cell_angle_beta 90.00
_cell_angle_gamma 90.00
loop_
_atom_site_label
_atom_site_type_symbol
_atom_site_fract_x
_atom_site_fract_y
_atom_site_fract_z
_atom_site_occupancy
Zn1 Zn 0.000 0.000 0.000 1
Sb1 Sb 0.000 0.000 0.433 1
Sb2 Sb 0.500 0.500 0.760 1
As1 As 0.500 0.500 0.165 1